Here is YCoTcB after structural relaxation from the Open Quantum Materials Database. Energies are from PBE.

Cell: 4.379 4.379 4.379 Å, 60.00 60.00 60.00°
Atoms (fractional coordinates):
Co 0.750 0.750 0.750
Tc 0.500 0.500 0.500
Y 0.250 0.250 0.250
B 0.000 0.000 0.000

Properties
Uncorrected energy: -27.605 eV/cell
Crystal system: cubic
Energy above the lowest structure with this stoichiometry: 95 meV/atom
Space-group type: F-43m (216)